1.
A relaxed structure of Y2ScSi. Source: Alexandria, functional PBE.

* space group: Imm2, No. 44
* total magnetization: 0.0 μB per formula unit
* D(E_F): 3.9 states/eV/f.u.
* ΔE_f (raw): -345 meV/atom
* theoretical density: 4.19 g cm⁻³
* total energy: -26.06 eV per formula unit

CIF file:
```
data_Y2ScSi
_symmetry_space_group_name_H-M 'P 1'
_symmetry_Int_Tables_number 1
_cell_length_a 6.209
_cell_length_b 6.209
_cell_length_c 4.919
_cell_angle_alpha 66.65
_cell_angle_beta 66.65
_cell_angle_gamma 35.22
loop_
_symmetry_equiv_pos_as_xyz
'x,y,z'
loop_
_atom_site_label
_atom_site_type_symbol
_atom_site_fract_x
_atom_site_fract_y
_atom_site_fract_z
Si1 Si 0.761 0.761 0.739
Y1 Y 0.039 0.039 0.961
Y2 Y 0.248 0.248 0.252
Sc1 Sc 0.451 0.451 0.549
```

=====

2.
A relaxed structure of YScSi2. Source: Alexandria, functional PBE.

* space group: Cmmm, No. 65
* total magnetization: 0.0 μB per formula unit
* D(E_F): 3.4 states/eV/f.u.
* ΔE_f (raw): -460 meV/atom
* energy relative to the lowest polymorph listed for this composition: 352 meV per atom
* theoretical density: 4.03 g cm⁻³
* total energy: -25.48 eV per formula unit

CIF file:
```
data_YScSi2
_symmetry_space_group_name_H-M 'P 1'
_symmetry_Int_Tables_number 1
_cell_length_a 5.060
_cell_length_b 5.060
_cell_length_c 3.149
_cell_angle_alpha 90.00
_cell_angle_beta 90.00
_cell_angle_gamma 103.82
loop_
_symmetry_equiv_pos_as_xyz
'x,y,z'
loop_
_atom_site_label
_atom_site_type_symbol
_atom_site_fract_x
_atom_site_fract_y
_atom_site_fract_z
Y1 Y 0.500 0.000 0.500
Si1 Si 0.500 0.500 0.000
Si2 Si 0.000 0.000 0.000
Sc1 Sc 0.000 0.500 0.500
```